Na2MnIrO4 | Alexandria | PBE with a Hubbard U | relaxed; volume = 11.003 Å³/atom; crystal system = monoclinic; DFT total energy = -6.00 eV/atom
1.0
3.123 0.000 0.000
0.000 5.393 0.090
0.000 -1.886 5.194
Na Mn Ir O
2 1 1 4
direct
0.500 0.000 0.500 Na
0.000 0.500 0.500 Na
0.500 0.500 0.000 Mn
0.000 0.000 0.000 Ir
0.500 0.240 0.198 O
0.500 0.760 0.802 O
0.000 0.278 0.806 O
0.000 0.722 0.194 O